5
Lattice="-1.858 -0.651 -3.444 -3.324 -0.911 1.965 -1.348 4.608 -0.144" Properties=species:S:1:pos:R:3 comment="ZrTeSN2 | the Alexandria database | meta-GGA SCAN | single point on PBEsol structure" polymorph_energy_mev_per_atom=449 raw_formation_energy_ev_per_atom=1.275 final_energy_ha_per_atom=-0.6599 pbc="T T T"
S 0.000 0.000 0.000
Te -0.674 2.304 -0.072
Zr -3.265 1.523 -0.812
N -1.662 -0.455 0.983
N -0.929 -0.326 -1.722